(1)
Material: RbLiBrF2
Method: DFT, PBE
State: optimized geometry Values from VASP.

Properties
- total moment (μB/f.u.) = 1.00
- uncorrected formation energy (kJ/mol of atoms) = -148.5
- uncorrected energy (eV per cell) = -16.0
- volume (Å³ per atom) = 23.0
- DOS at the Fermi energy (states/eV/atom) = 1.058

```
&SYSTEM
  ibrav = 0, nat = 5, ntyp = 4
/
ATOMIC_SPECIES
Rb 85.47 Rb.upf
Li 6.94 Li.upf
Br 79.90 Br.upf
F 19.00 F.upf
CELL_PARAMETERS angstrom
4.397 0.000 0.000
0.000 4.397 0.000
0.000 0.000 5.936
ATOMIC_POSITIONS crystal
Rb 0.000 0.000 0.000
Li 0.000 0.000 0.500
Br 0.500 0.500 0.000
F 0.000 0.500 0.500
F 0.500 0.000 0.500
```

(2)
Material: Al2HgPb
Method: DFT, PBE
State: optimized geometry Values from VASP.

Properties
- total moment (μB/f.u.) = 0.00
- DFT formation energy (eV per formula unit) = 0.815
- energy above the most stable polymorph in this dataset (meV/atom) = 58
- uncorrected energy (eV per cell) = -21.4
- volume (Å³ per atom) = 23.5
- DOS at the Fermi energy (states/eV/atom) = 0.412

```
&SYSTEM
  ibrav = 0, nat = 8, ntyp = 3
/
ATOMIC_SPECIES
Al 26.98 Al.upf
Hg 200.59 Hg.upf
Pb 207.20 Pb.upf
CELL_PARAMETERS angstrom
8.441 0.000 0.000
0.000 3.544 0.000
-1.398 0.000 6.278
ATOMIC_POSITIONS crystal
Al 0.244 0.000 0.203
Al 0.256 0.500 0.797
Al 0.744 0.500 0.203
Al 0.756 0.000 0.797
Hg 0.000 0.500 0.000
Hg 0.500 0.000 0.000
Pb 0.000 0.000 0.500
Pb 0.500 0.500 0.500
```

(3)
Material: TeH2Cl
Method: DFT, PBE
State: optimized geometry Values from VASP.

Properties
- total moment (μB/f.u.) = 0.00
- energy above the most stable polymorph in this dataset (meV/atom) = 726
- uncorrected energy (eV per cell) = -31.2
- volume (Å³ per atom) = 13.1
- DOS at the Fermi energy (states/eV/atom) = 0.610

```
&SYSTEM
  ibrav = 0, nat = 16, ntyp = 3
/
ATOMIC_SPECIES
Te 127.60 Te.upf
H 1.01 H.upf
Cl 35.45 Cl.upf
CELL_PARAMETERS angstrom
5.946 0.000 0.000
0.000 5.946 0.000
0.000 0.000 5.946
ATOMIC_POSITIONS crystal
Te 0.000 0.000 0.000
Te 0.000 0.500 0.500
Te 0.500 0.000 0.500
Te 0.500 0.500 0.000
H 0.250 0.250 0.250
H 0.250 0.250 0.750
H 0.250 0.750 0.250
H 0.250 0.750 0.750
H 0.750 0.250 0.250
H 0.750 0.250 0.750
H 0.750 0.750 0.250
H 0.750 0.750 0.750
Cl 0.000 0.000 0.500
Cl 0.000 0.500 0.000
Cl 0.500 0.000 0.000
Cl 0.500 0.500 0.500
```